# PBE RbLiBF6, optimized geometry
# Calculated volume: 14.41 A^3/atom
# Space-group type: P312
# ΔE_f (raw): -2.28 eV/atom
data_RbLiBF6
_chemical_formula_sum 'Rb1 Li1 B1 F6'
_cell_length_a 5.0283
_cell_length_b 5.0282
_cell_length_c 5.9240
_cell_angle_alpha 90.02
_cell_angle_beta 89.98
_cell_angle_gamma 59.95
_space_group_name_H-M_alt 'P 1'
_space_group_IT_number 1
loop_
_space_group_symop_operation_xyz
'x,y,z'
loop_
_atom_site_label
_atom_site_type_symbol
_atom_site_fract_x
_atom_site_fract_y
_atom_site_fract_z
_atom_site_occupancy
F1 F 0.5887 0.3472 0.6577 1
F2 F 0.3471 0.0641 0.6578 1
F3 F 0.0637 0.5891 0.6576 1
F4 F 0.3472 0.5887 0.3422 1
F5 F 0.5891 0.0637 0.3424 1
F6 F 0.0640 0.3471 0.3422 1
Rb1 Rb 0.0000 0.0001 0.0000 1
B1 B 0.3334 0.3335 0.5000 1
Li1 Li 0.6665 0.6665 0.5000 1